[1]
# PBE-GGA CeDy7, optimized geometry
data_CeDy7
_cell_length_a 10.002
_cell_length_b 10.002
_cell_length_c 10.002
_cell_angle_alpha 90.00
_cell_angle_beta 90.00
_cell_angle_gamma 90.00
_symmetry_space_group_name_H-M 'F m -3 m'
_symmetry_Int_Tables_number 225
_symmetry_space_group_name_Hall '-F 4 2 3'
loop_
_atom_site_label
_atom_site_fract_x
_atom_site_fract_y
_atom_site_fract_z
_atom_site_occupancy
Ce1 0.000 0.000 0.000 1
Dy1 0.000 0.000 0.500 1
Dy2 0.000 0.250 0.250 1
# Magnetic moment (Bohr magnetons per cell): 3.032
# Raw total energy (eV/atom): -4.7309


[2]
# PBE-GGA Ho2ZrBr, optimized geometry
data_Ho2ZrBr
_cell_length_a 3.3515
_cell_length_b 3.3515
_cell_length_c 33.1390
_cell_angle_alpha 90.00
_cell_angle_beta 90.00
_cell_angle_gamma 120.00
_symmetry_space_group_name_H-M 'R -3 m'
_symmetry_Int_Tables_number 166
_symmetry_space_group_name_Hall '-R 3 2"'
loop_
_atom_site_label
_atom_site_fract_x
_atom_site_fract_y
_atom_site_fract_z
_atom_site_occupancy
Ho1 0.0000 0.0000 0.0949 1
Zr1 0.0000 0.0000 0.0000 1
Br1 0.0000 0.0000 0.5000 1
# Magnetic moment (Bohr magnetons per cell): 0.001
# Raw total energy (eV/atom): -4.9393
# Formation energy without anion corrections (eV/atom): -0.10


[3]
# PBE-GGA Y2CuSbBr, optimized geometry
data_Y2CuSbBr
_cell_length_a 5.464
_cell_length_b 5.464
_cell_length_c 4.599
_cell_angle_alpha 90.00
_cell_angle_beta 90.00
_cell_angle_gamma 90.00
_symmetry_space_group_name_H-M 'P 4/m m m'
_symmetry_Int_Tables_number 123
_symmetry_space_group_name_Hall '-P 4 2'
loop_
_atom_site_label
_atom_site_fract_x
_atom_site_fract_y
_atom_site_fract_z
_atom_site_occupancy
Y1 0.000 0.500 0.000 1
Cu1 0.000 0.000 0.000 1
Sb1 0.500 0.500 0.500 1
Br1 0.000 0.000 0.500 1
# Magnetic moment (Bohr magnetons per cell): 0.000
# Raw total energy (eV/atom): -4.7913
# Formation energy without anion corrections (eV/atom): -0.23